1.
A relaxed K3ZrBi2S6 crystal. Source: Alexandria, functional PBE.

Lattice parameters (Å, degrees): 7.182 7.182 7.610 99.06 99.06 120.21
Site moments in Bohr magnetons follow the coordinates.
Sites, in units of the cell vectors:
1 S 0.759 0.759 0.201  -0.01
2 S 0.067 0.376 0.200  -0.01
3 S 0.241 0.241 0.799  -0.01
4 S 0.933 0.624 0.800  -0.01
5 S 0.624 0.933 0.800  -0.01
6 S 0.376 0.067 0.200  -0.01
7 Zr 0.000 0.000 0.000  0.37
8 K 0.829 0.171 0.500  0.00
9 K 0.171 0.829 0.500  0.00
10 K 0.500 0.500 0.500  0.00
11 Bi 0.334 0.666 0.000  0.08
12 Bi 0.666 0.334 0.000  0.08

## Properties
formation energy without anion corrections: -0.99 eV per atom
final energy: -4.69 eV per atom

2.
A relaxed K3ZrBi3S8 crystal. Source: Alexandria, functional PBE.

Lattice parameters (Å, degrees): 8.106 8.111 8.898 117.14 90.00 119.99
Sites, in units of the cell vectors:
1 K 0.000 0.000 0.000
2 K 0.500 0.500 0.000
3 K 0.000 0.500 0.000
4 S 0.781 0.024 0.305
5 S 0.244 0.025 0.305
6 S 0.219 0.438 0.695
7 S 0.737 0.475 0.713
8 S 0.263 0.525 0.287
9 S 0.781 0.562 0.305
10 S 0.756 0.975 0.695
11 S 0.219 0.976 0.695
12 Bi 0.500 0.500 0.500
13 Bi 0.000 0.500 0.500
14 Bi 0.500 0.000 0.500
15 Zr 0.000 0.000 0.500

## Properties
formation energy without anion corrections: -0.96 eV per atom
final energy: -4.73 eV per atom

3.
A relaxed K2BiSb2 crystal. Source: Alexandria, functional PBE.

Lattice parameters (Å, degrees): 4.902 6.979 6.978 59.75 69.44 69.44
Sites, in units of the cell vectors:
1 Bi 0.500 0.500 0.000
2 Sb 0.000 0.208 0.291
3 Sb 0.000 0.792 0.709
4 K 0.717 0.783 0.284
5 K 0.283 0.217 0.716

## Properties
formation energy without anion corrections: -0.32 eV per atom
final energy: -3.19 eV per atom

4.
A relaxed KBiSb crystal. Source: Alexandria, functional PBE.

Lattice parameters (Å, degrees): 4.318 5.095 12.881 82.88 80.35 64.93
Sites, in units of the cell vectors:
1 Bi 0.012 0.770 0.206
2 Bi 0.741 0.417 0.102
3 K 0.133 0.838 0.896
4 K 0.621 0.348 0.411
5 Sb 0.232 0.927 0.609
6 Sb 0.521 0.259 0.698

## Properties
formation energy without anion corrections: -0.21 eV per atom
final energy: -3.24 eV per atom